Record 1
Material: Er2Sc2Hg
Method: DFT, PBE
State: optimized geometry

Cell: 12.4202 12.4202 12.4202 Å, 157.40 157.40 32.17°
Last column: nearest neighbours and their distance in Å.
Sites, in units of the cell vectors:
Er  0.0501  0.3001  0.7500  2 Hg 3.02
Er  0.3001  0.0501  0.2500  2 Hg 3.02
Er  0.6999  0.9499  0.7500  2 Hg 3.02
Er  0.9499  0.6999  0.2500  2 Hg 3.02
Sc  0.2003  0.4503  0.7500  2 Hg 3.03
Sc  0.4503  0.2003  0.2500  2 Hg 3.03
Sc  0.5497  0.7997  0.7500  2 Hg 3.03
Sc  0.7997  0.5497  0.2500  2 Hg 3.03
Hg  0.1250  0.8750  0.2500  4 Er 3.02, 4 Sc 3.03
Hg  0.8750  0.1250  0.7500  4 Er 3.02, 4 Sc 3.03

Summary:
Its calculated volume is 282.6 Å³ per cell. The calculation puts the total DFT energy (no corrections) at -4.424 eV/atom. For the density of states at the Fermi level, the calculation gives 17.9 states/eV per cell. The space group is I4_1/amd, No. 141.

=====

Record 2
Material: Er3ScHg
Method: DFT, PBE
State: optimized geometry

Cell: 6.4918 6.4918 7.7586 Å, 107.22 107.22 66.60°
Last column: nearest neighbours and their distance in Å.
Sites, in units of the cell vectors:
Er  0.0562  0.0562  0.2345  2 Hg 3.30-3.36, 7 Er 3.37-3.43, 2 Sc 3.56
Er  0.0917  0.5882  0.3620  2 Hg 3.17-3.18, 3 Sc 3.36-3.37, 6 Er 3.37-3.54
Er  0.4118  0.9083  0.6380  2 Hg 3.17-3.18, 3 Sc 3.36-3.37, 6 Er 3.37-3.54
Er  0.5882  0.0917  0.3620  2 Hg 3.17-3.18, 3 Sc 3.36-3.37, 6 Er 3.37-3.54
Er  0.9083  0.4118  0.6380  2 Hg 3.17-3.18, 3 Sc 3.36-3.37, 6 Er 3.37-3.54
Er  0.9438  0.9438  0.7655  2 Hg 3.30-3.36, 7 Er 3.37-3.43, 2 Sc 3.56
Sc  0.4392  0.4392  0.7568  2 Hg 3.11-3.12, 6 Er 3.36-3.37
Sc  0.5608  0.5608  0.2432  2 Hg 3.11-3.12, 6 Er 3.36-3.37
Hg  0.2634  0.2634  0.9994  2 Sc 3.11-3.12, 6 Er 3.17-3.36
Hg  0.7366  0.7366  0.0006  2 Sc 3.11-3.12, 6 Er 3.17-3.36

Summary:
Its calculated volume is 280.6 Å³ per cell. The calculation puts the total DFT energy (no corrections) at -4.173 eV/atom. For the density of states at the Fermi level, the calculation gives 11.6 states/eV per cell. The space group is C2/m, No. 12.

=====

Record 3
Material: ErSc5Hg3
Method: DFT, PBE
State: optimized geometry

Cell: 8.6009 8.6009 6.5058 Å, 90.00 90.00 120.00°
Last column: nearest neighbours and their distance in Å.
Sites, in units of the cell vectors:
Er  0.0000  0.0000  0.0000  2 Er 3.25, 6 Hg 3.29, 6 Sc 3.34
Er  0.0000  0.0000  0.5000  2 Er 3.25, 6 Hg 3.29, 6 Sc 3.34
Sc  0.0000  0.3395  0.2500  3 Hg 2.83-2.89
Sc  0.0000  0.6605  0.7500  3 Hg 2.83-2.89
Sc  0.3333  0.6667  0.0000  8 Sc 3.25-3.27, 6 Hg 3.30
Sc  0.3333  0.6667  0.5000  8 Sc 3.25-3.27, 6 Hg 3.30
Sc  0.3395  0.0000  0.2500  3 Hg 2.83-2.89
Sc  0.3395  0.3395  0.7500  3 Hg 2.83-2.89
Sc  0.6605  0.0000  0.7500  3 Hg 2.83-2.89
Sc  0.6605  0.6605  0.2500  3 Hg 2.83-2.89
Sc  0.6667  0.3333  0.0000  8 Sc 3.25-3.27, 6 Hg 3.30
Sc  0.6667  0.3333  0.5000  8 Sc 3.25-3.27, 6 Hg 3.30
Hg  0.0000  0.3320  0.7500  3 Sc 2.83-2.89
Hg  0.0000  0.6680  0.2500  3 Sc 2.83-2.89
Hg  0.3320  0.0000  0.7500  3 Sc 2.83-2.89
Hg  0.3320  0.3320  0.2500  3 Sc 2.83-2.89
Hg  0.6680  0.0000  0.2500  3 Sc 2.83-2.89
Hg  0.6680  0.6680  0.7500  3 Sc 2.83-2.89

Summary:
Its calculated volume is 416.8 Å³ per cell. The calculation puts the total DFT energy (no corrections) at -4.446 eV/atom. For the density of states at the Fermi level, the calculation gives 9.1 states/eV per cell. The space group is P6_3/mcm, No. 193.

=====

Record 4
Material: Er2ScHg6
Method: DFT, PBE
State: optimized geometry

Cell: 8.5198 8.5198 3.3355 Å, 90.25 90.25 60.12°
Last column: nearest neighbours and their distance in Å.
Sites, in units of the cell vectors:
Er  0.1668  0.1668  0.0002  12 Hg 3.30-3.31, 2 Er 3.34
Er  0.8332  0.8332  0.9998  12 Hg 3.30-3.31, 2 Er 3.34
Sc  0.5000  0.5000  0.0000  12 Hg 3.27-3.29, 2 Sc 3.34
Hg  0.1684  0.8316  0.5000  3 Hg 2.82-2.88
Hg  0.1688  0.4999  0.5024  3 Hg 2.82-2.88
Hg  0.4999  0.1688  0.5024  3 Hg 2.82-2.88
Hg  0.5001  0.8312  0.4976  3 Hg 2.82-2.88
Hg  0.8312  0.5001  0.4976  3 Hg 2.82-2.88
Hg  0.8316  0.1684  0.5000  3 Hg 2.82-2.88

Summary:
The value obtained for the relative energy among the computed polymorphs is 0.59 kcal/mol of atoms. Its calculated volume is 209.9 Å³ per cell. The calculation puts the total DFT energy (no corrections) at -2.239 eV/atom. For the density of states at the Fermi level, the calculation gives 5.5 states/eV per cell. The space group is C2/m, No. 12.

=====

Record 5
Material: SmErScHg
Method: DFT, PBE
State: optimized geometry

Cell: 5.3332 5.3332 5.3332 Å, 60.00 60.00 60.00°
Last column: nearest neighbours and their distance in Å.
Sites, in units of the cell vectors:
Sm  0.0000  0.0000  0.0000  4 Sc 3.27, 4 Hg 3.27
Er  0.5000  0.5000  0.5000  4 Sc 3.27, 4 Hg 3.27
Sc  0.7500  0.7500  0.7500  4 Er 3.27, 4 Sm 3.27
Hg  0.2500  0.2500  0.2500  4 Er 3.27, 4 Sm 3.27

Summary:
Its calculated volume is 107.3 Å³ per cell. The calculation puts the total DFT energy (no corrections) at -4.057 eV/atom. For the density of states at the Fermi level, the calculation gives 5.6 states/eV per cell. The space group is F-43m, No. 216.

=====

Record 6
Material: SmEr2ScHg4
Method: DFT, PBE
State: optimized geometry

Cell: 9.0716 9.0716 9.0716 Å, 33.21 33.21 33.21°
Last column: nearest neighbours and their distance in Å.
Sites, in units of the cell vectors:
Sm  0.0000  0.0000  0.0000  8 Hg 3.22-3.27
Er  0.2477  0.2477  0.2477  8 Hg 3.09-3.39
Er  0.7523  0.7523  0.7523  8 Hg 3.09-3.39
Sc  0.5000  0.5000  0.5000  8 Hg 3.09-3.16
Hg  0.1274  0.1274  0.1274  4 Er 3.09-3.18, 3 Sc 3.16, 1 Sm 3.27
Hg  0.3798  0.3798  0.3798  1 Sc 3.09, 4 Er 3.16-3.39, 3 Sm 3.22
Hg  0.6202  0.6202  0.6202  1 Sc 3.09, 4 Er 3.16-3.39, 3 Sm 3.22
Hg  0.8726  0.8726  0.8726  4 Er 3.09-3.18, 3 Sc 3.16, 1 Sm 3.27

Summary:
Its calculated volume is 199.4 Å³ per cell. The calculation puts the total DFT energy (no corrections) at -3.123 eV/atom. For the density of states at the Fermi level, the calculation gives 8.0 states/eV per cell. The space group is R-3m, No. 166.

=====

Record 7
Material: ErScSnHg
Method: DFT, PBE
State: optimized geometry

Cell: 5.1345 5.1345 5.1345 Å, 60.00 60.00 60.00°
Last column: nearest neighbours and their distance in Å.
Sites, in units of the cell vectors:
Er  0.0000  0.0000  0.0000  4 Sn 3.14, 4 Hg 3.14
Sc  0.5000  0.5000  0.5000  4 Hg 3.14, 4 Sn 3.14
Sn  0.7500  0.7500  0.7500  4 Sc 3.14, 4 Er 3.14
Hg  0.2500  0.2500  0.2500  4 Sc 3.14, 4 Er 3.14

Summary:
Its calculated volume is 95.7 Å³ per cell. The calculation puts the total DFT energy (no corrections) at -4.302 eV/atom. For the density of states at the Fermi level, the calculation gives 3.0 states/eV per cell. The space group is F-43m, No. 216.

=====

Record 8
Material: ErScTcHg
Method: DFT, PBE
State: optimized geometry

Cell: 4.8799 4.8799 4.8799 Å, 60.00 60.00 60.00°
Last column: nearest neighbours and their distance in Å.
Sites, in units of the cell vectors:
Er  0.0000  0.0000  0.0000  4 Tc 2.99, 4 Hg 2.99
Sc  0.5000  0.5000  0.5000  4 Tc 2.99, 4 Hg 2.99
Tc  0.7500  0.7500  0.7500  4 Er 2.99, 4 Sc 2.99
Hg  0.2500  0.2500  0.2500  4 Er 2.99, 4 Sc 2.99

Summary:
Its calculated volume is 82.2 Å³ per cell. The calculation puts the total DFT energy (no corrections) at -5.595 eV/atom. For the density of states at the Fermi level, the calculation gives 2.7 states/eV per cell. The space group is F-43m, No. 216.

=====

no.,total moment (μB per cell)
1,3.18
2,0.00
3,0.00
4,0.22
5,0.59
6,0.44
7,0.00
8,0.00